# 1
A relaxed TbCeHgOs crystal, computed with PBE.

The calculation puts the formation energy at -0.325 eV/atom. The value obtained for the total magnetic moment is 0.00 μB per cell.

The space group is P4mm (No. 99) and the conventional cell measures 3.371, 3.371 and 8.282 Å, with angles of 90.00, 90.00 and 90.00 degrees. The inequivalent atoms are Tb at (0.000, 0.000, 0.000), Ce at (0.000, 0.000, 0.578), Hg at (0.500, 0.500, 0.279) and Os at (0.500, 0.500, 0.788).

# 2
A relaxed ScTc2Br crystal, computed with PBE.

The value obtained for the total magnetic moment is 0.00 μB per cell. The uncorrected formation energy comes out at 0.244 eV per atom.

The space group is P2/m (No. 10) and the conventional cell measures 3.119, 5.076 and 4.479 Å, with angles of 90.00, 92.36 and 90.00 degrees. The inequivalent atoms are Sc at (0.000, 0.000, 0.000), Tc at (0.324, 0.500, 0.237) and Br at (0.500, 0.000, 0.500).

# 3
A relaxed Tm2LuTh crystal, computed with PBE.

The calculation puts the formation energy at 0.029 eV/atom. The value obtained for the total magnetic moment is 0.00 μB per cell.

The space group is R-3m (No. 166, hexagonal axes) and the conventional cell measures 3.5297, 3.5297 and 34.0515 Å, with angles of 90.00, 90.00 and 120.00 degrees. The inequivalent atoms are Tm at (0.0000, 0.0000, 0.2504), Lu at (0.0000, 0.0000, 0.5000) and Th at (0.0000, 0.0000, 0.0000).

no.,excess energy over the best structure of this formula in the dataset (meV per atom)
1,0
2,414
3,1